Mn2AlNi | PBE | optimized geometry

Unit cell a=2.8327 b=4.0511 c=8.3621 alpha=90.00 beta=90.00 gamma=90.00
With the nearest neighbours (Å) after each atom.
Space group Immm (No. 71)
Asymmetric unit:
Mn (0.0000, 0.0000, 0.2452) (multiplicity 4)  4 Mn 2.47, 2 Ni 2.49, 2 Al 2.56
Al (0.0000, 0.5000, 0.0000) (multiplicity 2)  4 Ni 2.47, 4 Mn 2.56
Ni (0.0000, 0.5000, 0.5000) (multiplicity 2)  4 Al 2.47, 4 Mn 2.49

Output
**Crystal system**: orthorhombic
**Fermi-level density of states**: 1.03 states/eV per atom
**Volume**: 96 Å³ per cell

***

Mn2Al2Ni | PBE | optimized geometry

Unit cell a=3.5456 b=3.5456 c=11.6428 alpha=90.00 beta=90.00 gamma=90.00
With the nearest neighbours (Å) after each atom.
Space group I4/mmm (No. 139)
Asymmetric unit:
Mn (0.0000, 0.0000, 0.0916) (multiplicity 4)  1 Mn 2.13
Al (0.0000, 0.5000, 0.2500) (multiplicity 4)  4 Al 2.51, 4 Mn 2.56
Ni (0.0000, 0.0000, 0.5000) (multiplicity 2)  8 Mn 2.72

Output
**Crystal system**: tetragonal
**Fermi-level density of states**: 1.19 states/eV per atom
**Volume**: 146 Å³ per cell

***

Mn2AlNi | PBE | optimized geometry

Unit cell a=6.7187 b=6.7187 c=5.0605 alpha=90.00 beta=90.00 gamma=90.00
With the nearest neighbours (Å) after each atom.
Space group I-42d (No. 122)
Asymmetric unit:
Mn (0.2209, 0.2500, 0.1250) (multiplicity 8)  2 Ni 2.33, 2 Mn 2.56, 2 Al 2.60
Al (0.0000, 0.0000, 0.5000) (multiplicity 4)  2 Ni 2.53, 4 Mn 2.60
Ni (0.0000, 0.0000, 0.0000) (multiplicity 4)  4 Mn 2.33, 2 Al 2.53

Output
**Crystal system**: tetragonal
**Fermi-level density of states**: 0.73 states/eV per atom
**Volume**: 228 Å³ per cell

***

Number 1: E_form -0.5 eV per formula unit. Number 2: E_form 2.3 eV per formula unit. Number 3: E_form 1.3 eV per formula unit.